A plane-wave DFT calculation with PBE+U was carried out for MnZnO2 after structural relaxation.

Calculated values
energy	-48.491	eV/cell
total moment	5.000	μB per formula unit
space-group type	P-1 (2)

Cell: 5.9054 3.1433 6.7558 Å, 62.34 92.84 89.95°
Closest atoms and distances in Å follow each position.
Atoms (fractional coordinates):
Zn1 0.9201 0.4219 0.1965  2 O 1.87-1.97
Zn2 0.2032 0.2020 0.9154  2 O 1.87-1.97
Mn1 0.7650 0.4523 0.6659  5 O 2.12-2.24
Mn2 0.3583 0.1723 0.4460  5 O 2.12-2.24
O1 0.9513 0.7484 0.8700  3 Zn 1.97-2.17
O2 0.7145 0.1946 0.4231  1 Zn 1.87
O3 0.1719 0.8766 0.2419  3 Zn 1.97-2.17
O4 0.4087 0.4301 0.6887  1 Zn 1.87